[1]
# AlZn4Pb (PBE-GGA, relaxed)
# * formation energy from the elements: 169 meV per atom
# * DOS at the Fermi energy: 0.598 states/eV/atom
# * crystal system: cubic
# * calculated density: 7.341 Mg/m³
data_AlZn4Pb
_chemical_formula_sum 'Al4 Zn16 Pb4'
_cell_length_a 7.655
_cell_length_b 7.655
_cell_length_c 7.655
_cell_angle_alpha 90.00
_cell_angle_beta 90.00
_cell_angle_gamma 90.00
_space_group_name_H-M_alt 'F -4 3 m'
_space_group_IT_number 216
_space_group_name_Hall 'F -4 2 3'
loop_
_atom_site_label
_atom_site_fract_x
_atom_site_fract_y
_atom_site_fract_z
Al1 0.000 0.000 0.000
Zn1 0.126 0.126 0.374
Pb1 0.250 0.250 0.750

=====

[2]
# BaSrMo2 (PBE-GGA, relaxed)
# * formation energy from the elements: 1064 meV per atom
# * DOS at the Fermi energy: 1.060 states/eV/atom
# * crystal system: orthorhombic
# * calculated density: 5.351 Mg/m³
# * energy relative to the lowest polymorph listed for this composition: 0.534 eV/atom
data_BaSrMo2
_chemical_formula_sum 'Ba1 Sr1 Mo2'
_cell_length_a 3.654
_cell_length_b 5.018
_cell_length_c 7.054
_cell_angle_alpha 90.00
_cell_angle_beta 90.00
_cell_angle_gamma 90.00
_space_group_name_H-M_alt 'P m m m'
_space_group_IT_number 47
loop_
_space_group_symop_operation_xyz
'x,y,z'
'-x,-y,-z'
'-x,-y,z'
'x,y,-z'
'x,-y,-z'
'-x,y,z'
'-x,y,-z'
'x,-y,z'
loop_
_atom_site_label
_atom_site_fract_x
_atom_site_fract_y
_atom_site_fract_z
Ba1 0.000 0.000 0.000
Sr1 0.000 0.000 0.500
Mo1 0.500 0.500 0.349

=====

[3]
# Ca3La4Sn4 (PBE-GGA, relaxed)
# * formation energy from the elements: -481 meV per atom
# * DOS at the Fermi energy: 1.013 states/eV/atom
# * crystal system: orthorhombic
# * calculated density: 5.138 Mg/m³
data_Ca3La4Sn4
_chemical_formula_sum 'Ca6 La8 Sn8'
_cell_length_a 5.457
_cell_length_b 7.319
_cell_length_c 18.621
_cell_angle_alpha 90.00
_cell_angle_beta 90.00
_cell_angle_gamma 90.00
_space_group_name_H-M_alt 'I m m m'
_space_group_IT_number 71
_space_group_name_Hall '-I 2 2'
loop_
_atom_site_label
_atom_site_fract_x
_atom_site_fract_y
_atom_site_fract_z
Ca1 0.000 0.000 0.000
Ca2 0.000 0.500 0.093
La1 0.000 0.265 0.325
Sn1 0.000 0.000 0.175
Sn2 0.000 0.208 0.500